[1]
# PBE-GGA BaSn3Pd3, relaxed
# - Energy relative to the elements: -458 meV per atom
# - Raw total energy: -196.3 eV/cell
# - Total magnetic moment: 0.0 μB per cell
data_BaSn3Pd3
_symmetry_space_group_name_H-M 'R -3'
_symmetry_Int_Tables_number 148
_symmetry_space_group_name_Hall '-R 3'
_cell_length_a 7.1300
_cell_length_b 7.1300
_cell_length_c 25.0358
_cell_angle_alpha 90.00
_cell_angle_beta 90.00
_cell_angle_gamma 120.00
loop_
_atom_site_label
_atom_site_type_symbol
_atom_site_fract_x
_atom_site_fract_y
_atom_site_fract_z
Ba1 Ba 0.0000 0.0000 0.1769
Sn1 Sn 0.0439 0.6097 0.2610
Pd1 Pd 0.0271 0.7711 0.7016



[2]
# PBE-GGA NaZnGa, relaxed
# - Energy relative to the elements: -81 meV per atom
# - Raw total energy: -23.5 eV/cell
# - Total magnetic moment: 0.0 μB per cell
data_NaZnGa
_symmetry_space_group_name_H-M 'C 1 2/m 1'
_symmetry_Int_Tables_number 12
_symmetry_space_group_name_Hall '-C 2y'
_cell_length_a 10.5149
_cell_length_b 4.4671
_cell_length_c 7.4100
_cell_angle_alpha 90.00
_cell_angle_beta 133.84
_cell_angle_gamma 90.00
loop_
_atom_site_label
_atom_site_type_symbol
_atom_site_fract_x
_atom_site_fract_y
_atom_site_fract_z
Na1 Na 0.0675 0.0000 0.3201
Zn1 Zn 0.1594 0.5000 0.7284
Ga1 Ga 0.1608 0.5000 0.0922



[3]
# PBE-GGA Ce2BiP, relaxed
# - Energy relative to the elements: -1112 meV per atom
# - Raw total energy: -76.8 eV/cell
# - Total magnetic moment: 4.4 μB per cell
data_Ce2BiP
_symmetry_space_group_name_H-M 'R -3 m'
_symmetry_Int_Tables_number 166
_symmetry_space_group_name_Hall '-R 3 2"'
_cell_length_a 4.2668
_cell_length_b 4.2668
_cell_length_c 21.8353
_cell_angle_alpha 90.00
_cell_angle_beta 90.00
_cell_angle_gamma 120.00
loop_
_atom_site_label
_atom_site_type_symbol
_atom_site_fract_x
_atom_site_fract_y
_atom_site_fract_z
Ce1 Ce 0.0000 0.0000 0.2385
Bi1 Bi 0.0000 0.0000 0.0000
P1 P 0.0000 0.0000 0.5000



> Number 1 is which compound?

BaSn3Pd3



> What is the energy relative to the elements in the first record?

-458 meV per atom



> Look up the raw total energy of the first one.

-196.3 eV/cell



> What is the raw total energy in the first record?

-196.3 eV/cell